Entry 1:
Crystalline MnAg3W at its relaxed geometry, computed with PBEsol.

Unit cell a=4.6643 b=4.6643 c=4.6643 alpha=90.00 beta=90.00 gamma=90.00
Fractional positions:
1 Mn 0.0000 0.0000 0.0000
2 Ag 0.0000 0.0000 0.5000
3 Ag 0.0000 0.5000 0.0000
4 Ag 0.5000 0.0000 0.0000
5 W 0.5000 0.5000 0.5000

Entry 2:
Crystalline MnAg2W at its relaxed geometry, computed with PBEsol.

Unit cell a=2.7136 b=2.7136 c=8.2763 alpha=90.00 beta=90.00 gamma=90.00
Fractional positions:
1 Mn 0.0000 0.0000 0.0000
2 Ag 0.0000 0.0000 0.4929
3 Ag 0.5000 0.5000 0.7570
4 W 0.5000 0.5000 0.2290

Values from the calculation:
Energy relative to the lowest polymorph listed for this composition (eV per atom): 0.000

Entry 3:
Crystalline YMn2Ag at its relaxed geometry, computed with PBEsol.

Unit cell a=5.1432 b=5.1432 c=5.1432 alpha=133.85 beta=133.85 gamma=67.33
Fractional positions:
1 Y 0.0000 0.0000 0.0000
2 Mn 0.2500 0.7500 0.5000
3 Mn 0.5000 0.5000 0.0000
4 Ag 0.7500 0.2500 0.5000

Entry 4:
Crystalline Y2MnAg at its relaxed geometry, computed with PBEsol.

Unit cell a=9.2751 b=9.2751 c=9.2751 alpha=21.06 beta=21.06 gamma=21.06
Fractional positions:
1 Y 0.2462 0.2462 0.2462
2 Y 0.7538 0.7538 0.7538
3 Mn 0.5000 0.5000 0.5000
4 Ag 0.0000 0.0000 0.0000

Entry 5:
Crystalline Y2MnAg at its relaxed geometry, computed with PBEsol.

Unit cell a=3.4586 b=3.4586 c=7.2517 alpha=90.00 beta=90.00 gamma=90.00
Fractional positions:
1 Y 0.0000 0.0000 0.2370
2 Y 0.0000 0.0000 0.7630
3 Mn 0.5000 0.5000 0.0000
4 Ag 0.5000 0.5000 0.5000

Entry 6:
Crystalline YMnAg2 at its relaxed geometry, computed with PBEsol.

Unit cell a=3.4390 b=3.4390 c=6.3768 alpha=90.00 beta=90.00 gamma=90.00
Fractional positions:
1 Y 0.0000 0.0000 0.0000
2 Mn 0.5000 0.5000 0.7179
3 Ag 0.0000 0.0000 0.5139
4 Ag 0.5000 0.5000 0.2862

Entry 7:
Crystalline YMnAg2 at its relaxed geometry, computed with PBEsol.

Unit cell a=9.4412 b=9.4412 c=9.4412 alpha=18.82 beta=18.82 gamma=18.82
Fractional positions:
1 Y 0.0000 0.0000 0.0000
2 Mn 0.5000 0.5000 0.5000
3 Ag 0.2415 0.2415 0.2415
4 Ag 0.7585 0.7585 0.7585

Entry 8:
Crystalline Y2MnAg at its relaxed geometry, computed with PBEsol.

Unit cell a=5.0286 b=5.0286 c=3.4731 alpha=90.00 beta=90.00 gamma=90.00
Fractional positions:
1 Y 0.0000 0.5000 0.0000
2 Y 0.5000 0.0000 0.0000
3 Mn 0.0000 0.0000 0.5000
4 Ag 0.5000 0.5000 0.5000

no.,theoretical density (g/cm3),E_form (eV per atom)
1,9.2,1.938
2,12.4,0.384
3,7.3,0.352
4,6.3,0.289
5,6.5,-0.015
6,7.9,0.081
7,7.8,0.344
8,6.4,0.028